[1]
Entry from Alexandria via LeMat-Bulk: crystalline MgAl4Co at its relaxed geometry (PBE).

Cell lengths 5.0099, 6.5813, 6.5813 Å; angles 105.28, 100.39, 100.39 degrees
Last column: nearest neighbours and their distance in Å.
Fractional positions:
Al: 0.8830 0.6503 0.8647  2 Co 2.50, 2 Al 2.76-2.77
Al: 0.9391 0.0557 0.7014  2 Co 2.40-2.44
Al: 0.3830 0.8647 0.6503  2 Co 2.50, 2 Al 2.76-2.77
Al: 0.0609 0.9443 0.2986  2 Co 2.40-2.44
Al: 0.1169 0.3497 0.1353  2 Co 2.50, 2 Al 2.76-2.77
Al: 0.6169 0.1353 0.3497  2 Co 2.50, 2 Al 2.76-2.77
Al: 0.4391 0.7014 0.0557  2 Co 2.40-2.44
Al: 0.5609 0.2986 0.9443  2 Co 2.40-2.44
Co: 0.2500 0.9984 0.0016  8 Al 2.40-2.50, 2 Co 2.51
Co: 0.7500 0.0016 0.9984  8 Al 2.40-2.50, 2 Co 2.51
Mg: 0.7500 0.5935 0.4065  8 Al 2.87-3.14, 2 Mg 3.18
Mg: 0.2500 0.4065 0.5935  8 Al 2.87-3.14, 2 Mg 3.18

Calculated values
The density of states at the Fermi level is 5.2 states/eV per cell. As for the volume: 16.66 A^3/atom. Its total magnetization is 0.00 μB per formula unit. The formation energy comes out at -143 meV per atom.

[2]
Entry from Alexandria via LeMat-Bulk: crystalline MgAlCo2 at its relaxed geometry (PBE).

Cell lengths 4.3077, 4.3077, 4.9171 Å; angles 79.62, 79.62, 37.31 degrees
Last column: nearest neighbours and their distance in Å.
Fractional positions:
Al: 0.7500 0.7500 0.7500  6 Co 2.46-2.53, 2 Al 2.76
Mg: 0.2500 0.2500 0.2500  6 Co 2.63-2.69, 2 Mg 2.76, 4 Al 2.82
Co: 0.0096 0.0096 0.9623  3 Al 2.46-2.53, 4 Co 2.53-2.76, 3 Mg 2.63-2.69
Co: 0.4904 0.4904 0.5377  3 Al 2.46-2.53, 4 Co 2.53-2.76, 3 Mg 2.63-2.69

Calculated values
The density of states at the Fermi level is 4.4 states/eV per cell. As for the volume: 13.58 A^3/atom. Its total magnetization is 1.80 μB per formula unit. The formation energy comes out at 17 meV per atom.

Q: Look up the volume of the second one.
A: 13.58 A^3/atom

Q: Number 1 is which compound?
A: MgAl4Co

Copy entry 1 word for word.
Entry from Alexandria via LeMat-Bulk: crystalline MgAl4Co at its relaxed geometry (PBE).

Cell lengths 5.0099, 6.5813, 6.5813 Å; angles 105.28, 100.39, 100.39 degrees
Last column: nearest neighbours and their distance in Å.
Fractional positions:
Al: 0.8830 0.6503 0.8647  2 Co 2.50, 2 Al 2.76-2.77
Al: 0.9391 0.0557 0.7014  2 Co 2.40-2.44
Al: 0.3830 0.8647 0.6503  2 Co 2.50, 2 Al 2.76-2.77
Al: 0.0609 0.9443 0.2986  2 Co 2.40-2.44
Al: 0.1169 0.3497 0.1353  2 Co 2.50, 2 Al 2.76-2.77
Al: 0.6169 0.1353 0.3497  2 Co 2.50, 2 Al 2.76-2.77
Al: 0.4391 0.7014 0.0557  2 Co 2.40-2.44
Al: 0.5609 0.2986 0.9443  2 Co 2.40-2.44
Co: 0.2500 0.9984 0.0016  8 Al 2.40-2.50, 2 Co 2.51
Co: 0.7500 0.0016 0.9984  8 Al 2.40-2.50, 2 Co 2.51
Mg: 0.7500 0.5935 0.4065  8 Al 2.87-3.14, 2 Mg 3.18
Mg: 0.2500 0.4065 0.5935  8 Al 2.87-3.14, 2 Mg 3.18

Calculated values
The density of states at the Fermi level is 5.2 states/eV per cell. As for the volume: 16.66 A^3/atom. Its total magnetization is 0.00 μB per formula unit. The formation energy comes out at -143 meV per atom.